No. 1
The following is a GGA-PBEsol calculation of crystalline Na5Cu3P4O16 at its relaxed geometry, from Alexandria via LeMat-Bulk.

Unit cell a=5.0199 b=8.4850 c=9.1703 alpha=62.80 beta=89.84 gamma=74.86
Element x y z (fractional)
Na  0.0000  0.0000  0.0000
Na  0.2923  0.4632  0.2560
Na  0.3357  0.3506  0.6386
Na  0.6643  0.6494  0.3614
Na  0.7077  0.5368  0.7440
Cu  0.1477  0.7545  0.7910
Cu  0.5000  0.0000  0.5000
Cu  0.8523  0.2455  0.2090
P  0.0665  0.8185  0.4332
P  0.2724  0.3118  0.9768
P  0.7276  0.6882  0.0232
P  0.9335  0.1815  0.5668
O  0.0305  0.9916  0.2648
O  0.0397  0.6921  0.0029
O  0.2045  0.6453  0.4166
O  0.2162  0.2001  0.4997
O  0.2494  0.5086  0.8219
O  0.2516  0.8333  0.5649
O  0.4086  0.1806  0.9098
O  0.4145  0.2777  0.1386
O  0.5855  0.7223  0.8614
O  0.5914  0.8194  0.0902
O  0.7484  0.1667  0.4351
O  0.7506  0.4914  0.1781
O  0.7838  0.7999  0.5003
O  0.7955  0.3547  0.5834
O  0.9603  0.3079  0.9971
O  0.9695  0.0084  0.7352

Output
E in Ry per atom: -0.468

No. 2
The following is a GGA-PBEsol calculation of crystalline NaCu2S2O10 at its relaxed geometry, from Alexandria via LeMat-Bulk.

Unit cell a=5.2563 b=5.2563 c=7.9679 alpha=114.39 beta=114.39 gamma=69.03
Element x y z (fractional)
Na  0.0000  0.0000  0.0000
Cu  0.0000  0.5000  0.5000
Cu  0.5000  0.0000  0.5000
S  0.4244  0.4244  0.2071
S  0.5756  0.5756  0.7929
O  0.1591  0.1591  0.5374
O  0.2502  0.6661  0.7447
O  0.3027  0.3027  0.0000
O  0.3332  0.3332  0.3202
O  0.3339  0.7498  0.2553
O  0.6661  0.2502  0.7447
O  0.6668  0.6668  0.6798
O  0.6973  0.6973  0.0000
O  0.7498  0.3339  0.2553
O  0.8409  0.8409  0.4626

Output
E in Ry per atom: -0.424

No. 3
The following is a GGA-PBEsol calculation of crystalline Na3Cu2SbO6 at its relaxed geometry, from Alexandria via LeMat-Bulk.

Unit cell a=5.2738 b=5.2738 c=5.8503 alpha=102.89 beta=102.89 gamma=113.93
Element x y z (fractional)
Na  0.0000  0.0000  0.0000
Na  0.3274  0.6726  0.0000
Na  0.6726  0.3274  0.0000
Cu  0.1666  0.8334  0.5000
Cu  0.8334  0.1666  0.5000
Sb  0.5000  0.5000  0.5000
O  0.1357  0.4665  0.2752
O  0.2436  0.2436  0.6717
O  0.4665  0.1357  0.2752
O  0.5335  0.8643  0.7248
O  0.7564  0.7564  0.3283
O  0.8643  0.5335  0.7248

Output
E in Ry per atom: -0.393

No. 4
The following is a GGA-PBEsol calculation of crystalline NaCu2Se2O10 at its relaxed geometry, from Alexandria via LeMat-Bulk.

Unit cell a=5.5614 b=5.5614 c=8.0474 alpha=116.16 beta=116.16 gamma=65.81
Element x y z (fractional)
Na  0.0000  0.0000  0.0000
Cu  0.0000  0.5000  0.5000
Cu  0.5000  0.0000  0.5000
Se  0.4198  0.4198  0.2040
Se  0.5802  0.5802  0.7960
O  0.1782  0.1782  0.5488
O  0.2255  0.6867  0.7395
O  0.2886  0.2886  0.9689
O  0.3133  0.7745  0.2605
O  0.3223  0.3223  0.3263
O  0.6777  0.6777  0.6737
O  0.6867  0.2255  0.7395
O  0.7114  0.7114  0.0311
O  0.7745  0.3133  0.2605
O  0.8218  0.8218  0.4512

Output
E in Ry per atom: -0.386

No. 5
The following is a GGA-PBEsol calculation of crystalline Na2Cu2TeO6 at its relaxed geometry, from Alexandria via LeMat-Bulk.

Unit cell a=5.2011 b=5.2011 c=5.9619 alpha=103.27 beta=103.27 gamma=112.70
Element x y z (fractional)
Na  0.1851  0.8149  0.0000
Na  0.8149  0.1851  0.0000
Cu  0.3352  0.6648  0.5000
Cu  0.6648  0.3352  0.5000
Te  0.0000  0.0000  0.5000
O  0.0241  0.3546  0.7163
O  0.2460  0.2460  0.3397
O  0.3546  0.0241  0.7163
O  0.6454  0.9759  0.2837
O  0.7540  0.7540  0.6603
O  0.9759  0.6454  0.2837

Output
E in Ry per atom: -0.392

No. 6
The following is a GGA-PBEsol calculation of crystalline NaTi4Cu3O12 at its relaxed geometry, from Alexandria via LeMat-Bulk.

Unit cell a=6.3550 b=6.3550 c=6.3550 alpha=109.47 beta=109.47 gamma=109.47
Element x y z (fractional)
Na  0.0000  0.0000  0.0000
Ti  0.0000  0.0000  0.5000
Ti  0.0000  0.5000  0.0000
Ti  0.5000  0.0000  0.0000
Ti  0.5000  0.5000  0.5000
Cu  0.0000  0.5000  0.5000
Cu  0.5000  0.0000  0.5000
Cu  0.5000  0.5000  0.0000
O  0.1341  0.3101  0.8240
O  0.1760  0.4862  0.3101
O  0.1760  0.8659  0.6899
O  0.3101  0.1760  0.4862
O  0.3101  0.8240  0.1341
O  0.4862  0.3101  0.1760
O  0.5138  0.6899  0.8240
O  0.6899  0.1760  0.8659
O  0.6899  0.8240  0.5138
O  0.8240  0.1341  0.3101
O  0.8240  0.5138  0.6899
O  0.8659  0.6899  0.1760

Output
E in Ry per atom: -0.564

No. 7
The following is a GGA-PBEsol calculation of crystalline NaTiCuP2 at its relaxed geometry, from Alexandria via LeMat-Bulk.

Unit cell a=4.5043 b=4.5043 c=4.3578 alpha=90.00 beta=90.00 gamma=90.00
Element x y z (fractional)
Na  0.0000  0.0000  0.0000
Ti  0.5000  0.5000  0.0000
Cu  0.0000  0.0000  0.5000
P  0.0000  0.5000  0.5000
P  0.5000  0.0000  0.5000

Output
Energy relative to the elements in eV per atom: 0.5318

No. 8
The following is a GGA-PBEsol calculation of crystalline NaCuPb3 at its relaxed geometry, from Alexandria via LeMat-Bulk.

Unit cell a=5.2425 b=5.2425 c=5.2425 alpha=90.00 beta=90.00 gamma=90.00
Element x y z (fractional)
Na  0.0000  0.0000  0.0000
Cu  0.5000  0.5000  0.5000
Pb  0.0000  0.5000  0.5000
Pb  0.5000  0.0000  0.5000
Pb  0.5000  0.5000  0.0000

Output
Energy relative to the elements in eV per atom: 0.1637

No. 9
The following is a GGA-PBEsol calculation of crystalline NaCuPd3 at its relaxed geometry, from Alexandria via LeMat-Bulk.

Unit cell a=4.4864 b=4.4864 c=4.4864 alpha=90.00 beta=90.00 gamma=90.00
Element x y z (fractional)
Na  0.0000  0.0000  0.0000
Cu  0.5000  0.5000  0.5000
Pd  0.0000  0.0000  0.5000
Pd  0.0000  0.5000  0.0000
Pd  0.5000  0.0000  0.0000

Output
Energy relative to the elements in eV per atom: 1.3196

No. 10
The following is a GGA-PBEsol calculation of crystalline Na2CuTePd at its relaxed geometry, from Alexandria via LeMat-Bulk.

Unit cell a=5.0723 b=5.0723 c=4.7575 alpha=90.00 beta=90.00 gamma=90.00
Element x y z (fractional)
Na  0.0000  0.5000  0.0000
Na  0.5000  0.0000  0.0000
Cu  0.0000  0.0000  0.5000
Te  0.5000  0.5000  0.5000
Pd  0.0000  0.0000  0.0000

Output
E in Ry per atom: -0.220

No. 11
The following is a GGA-PBEsol calculation of crystalline Na2CuSbPt at its relaxed geometry, from Alexandria via LeMat-Bulk.

Unit cell a=5.7975 b=5.7975 c=4.8218 alpha=90.00 beta=90.00 gamma=90.00
Element x y z (fractional)
Na  0.0000  0.5000  0.0000
Na  0.5000  0.0000  0.0000
Cu  0.0000  0.0000  0.5000
Sb  0.5000  0.5000  0.0000
Pt  0.5000  0.5000  0.5000

Output
E in Ry per atom: -0.227

No. 12
The following is a GGA-PBEsol calculation of crystalline Rb3NaCu at its relaxed geometry, from Alexandria via LeMat-Bulk.

Unit cell a=6.6269 b=6.6269 c=6.6269 alpha=90.00 beta=90.00 gamma=90.00
Element x y z (fractional)
Rb  0.0000  0.0000  0.5000
Rb  0.0000  0.5000  0.0000
Rb  0.5000  0.0000  0.0000
Na  0.5000  0.5000  0.5000
Cu  0.0000  0.0000  0.0000

Output
Energy relative to the elements in eV per atom: 0.2990